DFT (GGA-PBE) results for a relaxed structure of BaScTe2O8.

```
BaScTe2O8
1.0
5.9544 0.0000 0.0000
-2.9772 5.1567 0.0000
0.0000 0.0000 7.5355
Ba Sc Te O
1 1 2 8
Direct
0.0000 0.0000 0.0000 Ba
0.0000 0.0000 0.5000 Sc
0.3333 0.6667 0.7412 Te
0.6667 0.3333 0.2588 Te
0.1539 0.3079 0.6836 O
0.1539 0.8461 0.6836 O
0.3079 0.1539 0.3164 O
0.3333 0.6667 0.9851 O
0.6667 0.3333 0.0149 O
0.6921 0.8461 0.6836 O
0.8461 0.1539 0.3164 O
0.8461 0.6921 0.3164 O
```

Computed properties:
Formation energy from raw total energies: -166.2 kJ/mol of atoms
Density of states at the Fermi level: 3.4 states/eV/f.u.
Space-group type: P-3m1 (164)